1.
First-principles (GGA-PBE) data for crystalline NaY2Pt at its relaxed geometry, as listed in Alexandria via LeMat-Bulk.

Output
* final energy: -5.2952 eV per atom
* V: 29.39 Å³ per atom
* space-group type: I-42d (122)
* total magnetization: 0.245 μB/atom
* ΔE_f: -0.2232 eV per atom

Lattice parameters (Å, degrees): 8.3731 8.3731 6.8045 52.03 52.03 90.00
With the nearest neighbours (Å) after each atom.
Sites, in units of the cell vectors:
Y (0.6889, 0.1250, 0.2500)  2 Pt 2.74
Y (0.0611, 0.6250, 0.2500)  2 Pt 2.74
Y (0.3750, 0.3111, 0.7500)  2 Pt 2.74
Y (0.8750, 0.9389, 0.7500)  2 Pt 2.74
Na (0.5000, 0.5000, 0.0000)  2 Pt 3.35, 8 Y 3.46-3.62
Na (0.2500, 0.7500, 0.5000)  2 Pt 3.35, 8 Y 3.46-3.62
Pt (0.0000, 0.0000, 0.0000)  4 Y 2.74
Pt (0.7500, 0.2500, 0.5000)  4 Y 2.74

***

2.
First-principles (GGA-PBE) data for crystalline NaY3Pt at its relaxed geometry, as listed in Alexandria via LeMat-Bulk.

Output
* final energy: -5.6657 eV per atom
* V: 33.94 Å³ per atom
* space-group type: Pm-3m (221)
* total magnetization: 0.000 μB/atom
* ΔE_f: -0.3153 eV per atom

Lattice parameters (Å, degrees): 5.5366 5.5366 5.5366 90.00 90.00 90.00
With the nearest neighbours (Å) after each atom.
Sites, in units of the cell vectors:
Y (0.0000, 0.5000, 0.0000)  2 Pt 2.77
Y (0.0000, 0.0000, 0.5000)  2 Pt 2.77
Y (0.5000, 0.0000, 0.0000)  2 Pt 2.77
Na (0.5000, 0.5000, 0.5000)  12 Y 3.91
Pt (0.0000, 0.0000, 0.0000)  6 Y 2.77